a.
# Al2CuNi5 | Alexandria via LeMat-Bulk | PBE-GGA | relaxed
data_Al2CuNi5
_symmetry_space_group_name_H-M 'I 4/m m m'
_symmetry_Int_Tables_number 139
_symmetry_space_group_name_Hall '-I 4 2'
_cell_length_a 5.113
_cell_length_b 5.113
_cell_length_c 7.002
_cell_angle_alpha 90.00
_cell_angle_beta 90.00
_cell_angle_gamma 90.00
loop_
_atom_site_label
_atom_site_type_symbol
_atom_site_fract_x
_atom_site_fract_y
_atom_site_fract_z
Al1 Al 0.000 0.500 0.000
Cu1 Cu 0.000 0.000 0.000
Ni1 Ni 0.000 0.000 0.500
Ni2 Ni 0.250 0.250 0.250
# - Mass density: 7.457 g/cm³
# - DOS at the Fermi energy: 0.753 states/eV/atom
# - Magnetization: 0.00 μB per formula unit

b.
# Al2CuNi5 | Alexandria via LeMat-Bulk | PBE-GGA | relaxed
data_Al2CuNi5
_symmetry_space_group_name_H-M 'I 4/m m m'
_symmetry_Int_Tables_number 139
_symmetry_space_group_name_Hall '-I 4 2'
_cell_length_a 4.138
_cell_length_b 4.138
_cell_length_c 10.788
_cell_angle_alpha 90.00
_cell_angle_beta 90.00
_cell_angle_gamma 90.00
loop_
_atom_site_label
_atom_site_type_symbol
_atom_site_fract_x
_atom_site_fract_y
_atom_site_fract_z
Al1 Al 0.000 0.000 0.249
Cu1 Cu 0.000 0.000 0.500
Ni1 Ni 0.000 0.000 0.000
Ni2 Ni 0.000 0.500 0.124
# - Mass density: 7.388 g/cm³
# - DOS at the Fermi energy: 0.608 states/eV/atom
# - Magnetization: 0.00 μB per formula unit

Most stable of them? a.

a.
# Al2CuNi5 | Alexandria via LeMat-Bulk | PBE-GGA | relaxed
data_Al2CuNi5
_symmetry_space_group_name_H-M 'I m m m'
_symmetry_Int_Tables_number 71
_symmetry_space_group_name_Hall '-I 2 2'
_cell_length_a 2.594
_cell_length_b 7.554
_cell_length_c 9.630
_cell_angle_alpha 90.00
_cell_angle_beta 90.00
_cell_angle_gamma 90.00
loop_
_atom_site_label
_atom_site_type_symbol
_atom_site_fract_x
_atom_site_fract_y
_atom_site_fract_z
Al1 Al 0.000 0.000 0.247
Cu1 Cu 0.000 0.500 0.500
Ni1 Ni 0.000 0.000 0.500
Ni2 Ni 0.000 0.271 0.128
# - Mass density: 7.233 g/cm³
# - DOS at the Fermi energy: 0.976 states/eV/atom
# - Magnetization: 0.48 μB per formula unit

b.
# Al2CuNi5 | Alexandria via LeMat-Bulk | PBE-GGA | relaxed
data_Al2CuNi5
_symmetry_space_group_name_H-M 'P b a m'
_symmetry_Int_Tables_number 55
_cell_length_a 5.027
_cell_length_b 10.045
_cell_length_c 3.629
_cell_angle_alpha 90.00
_cell_angle_beta 90.00
_cell_angle_gamma 90.00
loop_
_symmetry_equiv_pos_as_xyz
'x,y,z'
'-x,-y,-z'
'-x,-y,z'
'x,y,-z'
'x+1/2,-y+1/2,-z'
'-x+1/2,y+1/2,z'
'-x+1/2,y+1/2,-z'
'x+1/2,-y+1/2,z'
loop_
_atom_site_label
_atom_site_type_symbol
_atom_site_fract_x
_atom_site_fract_y
_atom_site_fract_z
Al1 Al 0.232 0.129 0.000
Cu1 Cu 0.000 0.500 0.500
Ni1 Ni 0.000 0.000 0.500
Ni2 Ni 0.019 0.750 0.500
Ni3 Ni 0.237 0.377 0.000
# - Mass density: 7.448 g/cm³
# - DOS at the Fermi energy: 0.948 states/eV/atom
# - Magnetization: 0.00 μB per formula unit

Most stable of them? b.